Entry 1:
A plane-wave DFT calculation with PBE was carried out for crystalline NdHoGa3 at its relaxed geometry.

## Properties
The value obtained for the density of states at the Fermi level is 0.641 states/eV/atom. The uncorrected energy is -4.348 eV/atom.

Lattice parameters (Å, degrees): 13.029 13.029 4.207 90.00 90.00 161.07
Atoms (fractional coordinates):
Nd: 0.074 0.926 0.750
Nd: 0.926 0.074 0.250
Ho: 0.204 0.796 0.250
Ho: 0.796 0.204 0.750
Ga: 0.322 0.678 0.250
Ga: 0.379 0.621 0.750
Ga: 0.476 0.524 0.750
Ga: 0.524 0.476 0.250
Ga: 0.621 0.379 0.250
Ga: 0.678 0.322 0.750

Entry 2:
A plane-wave DFT calculation with PBE was carried out for crystalline SnSb3P at its relaxed geometry.

## Properties
The energy above the most stable polymorph in this dataset comes out at 766 meV/atom. The value obtained for the density of states at the Fermi level is 1.366 states/eV/atom. The formation energy (no corrections) is 1246 meV per atom.

Lattice parameters (Å, degrees): 5.581 5.581 5.581 90.00 90.00 90.00
Atoms (fractional coordinates):
Sn: 0.000 0.000 0.000
Sb: 0.000 0.000 0.500
Sb: 0.000 0.500 0.000
Sb: 0.500 0.000 0.000
P: 0.500 0.500 0.500

Entry 3:
A plane-wave DFT calculation with PBE was carried out for crystalline TbDyY5Ho2 at its relaxed geometry.

## Properties
The value obtained for the density of states at the Fermi level is 1.747 states/eV/atom. The uncorrected energy is -5.478 eV/atom.

Lattice parameters (Å, degrees): 10.353 10.353 10.555 90.00 90.00 148.60
Atoms (fractional coordinates):
Tb: 0.086 0.914 0.500
Tb: 0.914 0.086 0.000
Dy: 0.303 0.697 0.060
Dy: 0.697 0.303 0.560
Y: 0.021 0.979 0.785
Y: 0.114 0.886 0.070
Y: 0.200 0.800 0.753
Y: 0.221 0.779 0.362
Y: 0.483 0.517 0.069
Y: 0.517 0.483 0.569
Y: 0.779 0.221 0.862
Y: 0.800 0.200 0.253
Y: 0.886 0.114 0.570
Y: 0.979 0.021 0.285
Ho: 0.387 0.613 0.364
Ho: 0.390 0.610 0.784
Ho: 0.610 0.390 0.284
Ho: 0.613 0.387 0.864